No. 1
Compound: SrLaP2
Source: Alexandria
Functional: PBE
Structure: optimized geometry Values from VASP.

```
&SYSTEM
  ibrav = 0, nat = 4, ntyp = 3
/
ATOMIC_SPECIES
Sr 87.62 Sr.upf
La 138.91 La.upf
P 30.97 P.upf
CELL_PARAMETERS angstrom
-2.875 1.551 0.412
-0.524 0.043 -3.818
-3.614 -6.811 0.420
ATOMIC_POSITIONS angstrom
Sr -1.700 0.797 -1.703
La -3.507 -2.608 -1.493
P -2.677 -5.045 0.311
P -0.937 -1.765 0.109
```

Polymorph energy (0 for the lowest one), meV per atom: 167.6
N(E_F), states/eV/cell: 1.31
ΔH_f (0 K), eV/atom: -0.973
V, Å³ per atom: 24.49


No. 2
Compound: SrLa3P4
Source: Alexandria
Functional: PBE
Structure: optimized geometry Values from VASP.

```
&SYSTEM
  ibrav = 0, nat = 16, ntyp = 3
/
ATOMIC_SPECIES
Sr 87.62 Sr.upf
P 30.97 P.upf
La 138.91 La.upf
CELL_PARAMETERS angstrom
-4.172 -1.446 -6.013
-0.334 -5.766 4.713
-6.804 3.555 3.866
ATOMIC_POSITIONS angstrom
Sr -9.086 2.028 -1.124
Sr -1.889 0.081 -1.022
P -4.322 0.737 3.538
P -8.074 0.856 1.604
P -4.793 -0.830 -0.386
P -5.143 -2.488 -4.253
P -6.168 -1.168 6.819
P -6.517 -2.827 2.952
P -3.237 -4.512 0.962
P -6.988 -4.393 -0.972
La -5.672 0.244 -3.065
La -5.304 1.865 0.918
La -7.554 -1.742 0.267
La -4.140 -3.526 -1.674
La -3.756 -1.914 2.300
La -7.170 -0.130 4.240
```

N(E_F), states/eV/cell: 15.29
ΔH_f (0 K), eV/atom: -1.363
V, Å³ per atom: 28.15


No. 3
Compound: SrLaP2
Source: Alexandria
Functional: PBE
Structure: optimized geometry Values from VASP.

```
&SYSTEM
  ibrav = 0, nat = 4, ntyp = 3
/
ATOMIC_SPECIES
La 138.91 La.upf
P 30.97 P.upf
Sr 87.62 Sr.upf
CELL_PARAMETERS angstrom
4.335 0.011 -0.005
2.158 3.759 -0.005
2.167 1.259 7.062
ATOMIC_POSITIONS angstrom
La 6.496 3.772 5.289
P 2.167 1.258 6.940
P 4.331 2.515 3.648
Sr 2.165 1.257 1.763
```

Polymorph energy (0 for the lowest one), meV per atom: 0.0
N(E_F), states/eV/cell: 5.09
ΔH_f (0 K), eV/atom: -1.140
V, Å³ per atom: 28.74


No. 4
Compound: SrLa2P
Source: Alexandria
Functional: PBE
Structure: optimized geometry Values from VASP.

```
&SYSTEM
  ibrav = 0, nat = 4, ntyp = 3
/
ATOMIC_SPECIES
Sr 87.62 Sr.upf
P 30.97 P.upf
La 138.91 La.upf
CELL_PARAMETERS angstrom
0.000 3.878 3.878
3.878 0.000 3.878
3.878 3.878 0.000
ATOMIC_POSITIONS angstrom
Sr 3.878 3.878 3.878
P 0.000 0.000 0.000
La 1.939 1.939 1.939
La 5.817 5.817 5.817
```

Polymorph energy (0 for the lowest one), meV per atom: 668.2
N(E_F), states/eV/cell: 4.79
ΔH_f (0 K), eV/atom: -0.057
V, Å³ per atom: 29.17


> What is the V in the first record?

24.49 Å³ per atom